No. 1
This record from the Alexandria database describes a relaxed TbY2ErBr4 crystal. The functional is PBE.

```
8
Lattice="6.769 -1.417 0.000 -1.974 6.628 0.000 -2.398 -2.605 5.056" Properties=species:S:1:pos:R:3 pbc="T T T"
Y -0.987 3.314 2.425
Y 3.385 -0.709 2.425
Br -1.191 -1.294 3.906
Br -2.198 2.023 4.951
Br 2.198 -2.023 4.951
Br 1.191 1.294 3.906
Er 2.398 2.605 1.350
Tb 0.000 0.000 1.370
```

Properties
magnetization: 0.00 Bohr magnetons per cell
uncorrected formation energy: -0.91 eV per atom
SG: Fmm2



No. 2
This record from the Alexandria database describes a relaxed LaCo2Cu crystal. The functional is PBE.

```
4
Lattice="-1.702 2.549 0.100 -0.634 -0.539 2.952 5.589 3.658 1.869" Properties=species:S:1:pos:R:3 pbc="T T T"
Co 0.427 0.280 0.143
Co 0.131 1.855 1.960
La 3.071 3.780 2.944
Cu 2.418 1.583 0.809
```

Properties
magnetization: 3.06 Bohr magnetons per cell
energy relative to the elements: 182 meV/atom
SG: P4mm



No. 3
This record from the Alexandria database describes a relaxed Be2AlW crystal. The functional is PBE.

```
4
Lattice="4.575 0.009 0.000 1.769 4.219 0.000 -3.172 -2.114 2.529" Properties=species:S:1:pos:R:3 pbc="T T T"
Be 0.000 0.000 0.000
Be 3.172 2.114 0.000
W 0.884 2.109 1.265
Al 2.287 0.005 1.265
```

Properties
magnetization: 0.00 Bohr magnetons per cell
energy relative to the elements: 139 meV/atom
SG: I4/mmm



No. 4
This record from the Alexandria database describes a relaxed Li3Y2ErSe6 crystal. The functional is PBE.

```
12
Lattice="7.033 -0.001 0.001 -3.516 6.092 0.001 -1.173 -2.032 6.497" Properties=species:S:1:pos:R:3 pbc="T T T"
Se 3.508 2.043 4.854
Se 0.016 4.060 4.854
Se 2.328 -0.001 1.644
Se 2.353 4.075 1.642
Se -1.164 2.016 1.644
Se -0.009 -0.016 4.856
Li -2.344 4.060 3.249
Li 4.688 -0.001 3.249
Li 1.172 2.029 3.249
Y 0.001 4.061 0.001
Y 3.517 2.030 0.001
Er 0.000 0.000 0.000
```

Properties
magnetization: 0.00 Bohr magnetons per cell
uncorrected formation energy: -1.70 eV per atom
SG: C2/m



No. 5
This record from the Alexandria database describes a relaxed Tb2Dy3S4 crystal. The functional is PBE.

```
9
Lattice="-3.125 2.148 0.763 0.312 -1.821 -3.398 -7.274 -12.772 6.178" Properties=species:S:1:pos:R:3 pbc="T T T"
S -7.369 -11.972 3.540
S -5.356 -1.773 2.658
S -2.717 -0.473 0.003
S -4.730 -10.672 0.885
Tb -7.757 -9.317 4.284
Tb -2.329 -3.127 -0.741
Dy -5.129 -8.038 1.638
Dy 0.000 0.000 0.000
Dy -4.957 -4.407 1.905
```

Properties
magnetization: 0.01 Bohr magnetons per cell
uncorrected formation energy: -1.76 eV per atom
SG: P-3m1



No. 6
This record from the Alexandria database describes a relaxed TeAu3 crystal. The functional is PBE.

```
8
Lattice="3.569 -6.390 0.000 3.569 6.390 0.000 0.000 0.000 3.849" Properties=species:S:1:pos:R:3 pbc="T T T"
Au 5.722 1.042 2.887
Au 1.416 -1.042 0.962
Au 1.416 1.042 2.887
Au 3.569 3.805 2.887
Au 5.722 -1.042 0.962
Au 3.569 -3.805 0.962
Te 3.569 1.745 0.962
Te 3.569 -1.745 2.887
```

Properties
magnetization: 0.00 Bohr magnetons per cell
uncorrected formation energy: 0.13 eV per atom
SG: Cmcm